# 1
## Tc3AuCl (PBE)

Data for a relaxed structure of Tc3AuCl.

Results
density of states at the Fermi level	8.51	states/eV per cell
distance to the lowest polymorph of the same formula	522	kJ/mol of formula units
formation energy from raw total energies	2.157	eV per atom

a b c (Å): 5.1716 5.1716 5.1716
angles (deg): 90.00 90.00 90.00
Element x y z (fractional)
Tc 0.0000 0.0000 0.5000
Tc 0.0000 0.5000 0.0000
Tc 0.5000 0.0000 0.0000
Au 0.0000 0.0000 0.0000
Cl 0.5000 0.5000 0.5000

=====

# 2
## Tc4AuCl (PBE)

Data for a relaxed structure of Tc4AuCl.

Results
density of states at the Fermi level	4.97	states/eV per cell
formation energy from raw total energies	0.923	eV per atom

a b c (Å): 5.2096 5.2096 5.2096
angles (deg): 60.00 60.00 60.00
Element x y z (fractional)
Tc 0.3763 0.3763 0.3763
Tc 0.3763 0.3763 0.8711
Tc 0.3763 0.8711 0.3763
Tc 0.8711 0.3763 0.3763
Au 0.0000 0.0000 0.0000
Cl 0.7500 0.7500 0.7500

=====

# 3
## TcAu2Cl (PBE)

Data for a relaxed structure of TcAu2Cl.

Results
density of states at the Fermi level	2.42	states/eV per cell
distance to the lowest polymorph of the same formula	198	kJ/mol of formula units
formation energy from raw total energies	0.685	eV per atom

a b c (Å): 5.8796 5.8796 5.8796
angles (deg): 141.53 141.53 55.54
Element x y z (fractional)
Tc 0.0000 0.0000 0.0000
Au 0.2500 0.7500 0.5000
Au 0.7500 0.2500 0.5000
Cl 0.5000 0.5000 0.0000

=====

# 4
## TcAuCl (PBE)

Data for a relaxed structure of TcAuCl.

Results
density of states at the Fermi level	2.59	states/eV per cell
distance to the lowest polymorph of the same formula	0	kJ/mol of formula units
formation energy from raw total energies	0.266	eV per atom

a b c (Å): 3.0251 3.0251 7.0081
angles (deg): 90.00 90.00 120.00
Element x y z (fractional)
Tc 0.0000 0.0000 0.0000
Au 0.3333 0.6667 0.3125
Cl 0.6667 0.3333 0.7658

=====

# 5
## TcAuCl4 (PBE)

Data for a relaxed structure of TcAuCl4.

Results
density of states at the Fermi level	5.25	states/eV per cell
formation energy from raw total energies	1.110	eV per atom

a b c (Å): 5.7935 5.7935 5.7935
angles (deg): 60.00 60.00 60.00
Element x y z (fractional)
Tc 0.0000 0.0000 0.0000
Au 0.7500 0.7500 0.7500
Cl 0.3753 0.3753 0.3753
Cl 0.3753 0.3753 0.8741
Cl 0.3753 0.8741 0.3753
Cl 0.8741 0.3753 0.3753

=====

# 6
## Tl2TcAuCl (PBE)

Data for a relaxed structure of Tl2TcAuCl.

Results
density of states at the Fermi level	2.66	states/eV per cell
distance to the lowest polymorph of the same formula	0	kJ/mol of formula units
formation energy from raw total energies	0.355	eV per atom

a b c (Å): 5.5201 5.5201 4.4279
angles (deg): 90.00 90.00 90.00
Element x y z (fractional)
Tl 0.0000 0.5000 0.0000
Tl 0.5000 0.0000 0.0000
Tc 0.0000 0.0000 0.0000
Au 0.5000 0.5000 0.5000
Cl 0.0000 0.0000 0.5000